Computed, not measured: a relaxed structure of BeNiP3 at the GGA-PBE level of DFT.

Geometry as POSCAR:
```
BeNiP3
1.0
-1.013 3.160 -2.851
-4.176 -0.172 1.293
0.822 3.020 3.056
Ni Be P
1 1 3
Direct
0.000 0.000 0.000
0.500 0.500 0.500
0.000 0.500 0.000
0.000 0.000 0.500
0.500 0.000 0.000
```

Values from the calculation:
Energy of formation: 0.956 eV per atom
Mass density: 3.19 g/cm3
Relative energy among the computed polymorphs: 0.1501 eV/atom
Space-group type: Pm-3m, No. 221
Fermi-level density of states: 4.28 states/eV/cell